[1]
DFT (PBE) results for crystalline SrSbPbO6 at its relaxed geometry.

It has space group P-31c (No. 163), with a = 5.5908 Å, b = 5.5908 Å, c = 10.6940 Å, α = 90.00°, β = 90.00° and γ = 120.00°. Symmetry generates all atoms from Sr at (0.0000, 0.0000, 0.0000), Sb at (0.3333, 0.6667, 0.2500), Pb at (0.3333, 0.6667, 0.7500) and O at (0.0255, 0.3810, 0.1431).

For the uncorrected energy, the calculation gives -5.823 eV/atom.

[2]
DFT (PBE) results for crystalline LaCoMo2 at its relaxed geometry.

It has space group R3m (No. 160, hexagonal axes), with a = 3.1745 Å, b = 3.1745 Å, c = 25.5808 Å, α = 90.00°, β = 90.00° and γ = 120.00°. Symmetry generates all atoms from La at (0.0000, 0.0000, 0.0000), Co at (0.0000, 0.0000, 0.2425), Mo at (0.0000, 0.0000, 0.5069) and Mo at (0.0000, 0.0000, 0.7691).

The excess energy over the best structure of this formula in the dataset comes out at 264.2 meV per atom. The energy of formation from the pure elements is 0.58 eV/atom.

[3]
DFT (PBE) results for crystalline Ti3Al3Co2Re at its relaxed geometry.

It has space group P-62m (No. 189), with a = 7.1779 Å, b = 7.1779 Å, c = 2.9794 Å, α = 90.00°, β = 90.00° and γ = 120.00°. Symmetry generates all atoms from Ti at (0.0000, 0.7071, 0.0000), Al at (0.0000, 0.3759, 0.5000), Co at (0.3333, 0.6667, 0.0000) and Re at (0.0000, 0.0000, 0.5000).

The energy of formation from the pure elements is -0.35 eV/atom.

[4]
DFT (PBE) results for crystalline CdGaS3 at its relaxed geometry.

It has space group P2_1/m (No. 11), with a = 6.541 Å, b = 3.684 Å, c = 10.754 Å, α = 90.00°, β = 103.83° and γ = 90.00°. Symmetry generates all atoms from Cd at (0.005, 0.250, 0.327), Ga at (0.490, 0.250, 0.777), S at (0.163, 0.750, 0.210), S at (0.225, 0.250, 0.589) and S at (0.383, 0.750, 0.876).

The excess energy over the best structure of this formula in the dataset comes out at 0.0 meV per atom.